Material: CdRu
Method: DFT, GGA-PBE
State: relaxed

```
data_CdRu
_chemical_formula_sum 'Cd4 Ru4'
_cell_length_a 5.383
_cell_length_b 5.383
_cell_length_c 5.465
_cell_angle_alpha 90.00
_cell_angle_beta 90.00
_cell_angle_gamma 90.00
_symmetry_space_group_name_H-M 'P 1'
_symmetry_Int_Tables_number 1
_symmetry_space_group_name_Hall 'P 1'
loop_
_atom_site_label
_atom_site_type_symbol
_atom_site_fract_x
_atom_site_fract_y
_atom_site_fract_z
Cd1 Cd 0.183 0.183 0.000
Cd2 Cd 0.683 0.317 0.500
Cd3 Cd 0.317 0.683 0.500
Cd4 Cd 0.817 0.817 0.000
Ru1 Ru 0.335 0.665 0.000
Ru2 Ru 0.835 0.835 0.500
Ru3 Ru 0.165 0.165 0.500
Ru4 Ru 0.665 0.335 0.000
```

Material: Be3InCu10
Method: DFT, GGA-PBE
State: relaxed

```
data_Be3InCu10
_chemical_formula_sum 'Be6 In2 Cu20'
_cell_length_a 7.902
_cell_length_b 7.902
_cell_length_c 7.902
_cell_angle_alpha 60.00
_cell_angle_beta 60.00
_cell_angle_gamma 60.00
_symmetry_space_group_name_H-M 'P 1'
_symmetry_Int_Tables_number 1
_symmetry_space_group_name_Hall 'P 1'
loop_
_atom_site_label
_atom_site_type_symbol
_atom_site_fract_x
_atom_site_fract_y
_atom_site_fract_z
Be1 Be 0.730 0.730 0.270
Be2 Be 0.730 0.270 0.730
Be3 Be 0.270 0.730 0.730
Be4 Be 0.270 0.270 0.730
Be5 Be 0.730 0.270 0.270
Be6 Be 0.270 0.730 0.270
In1 In 0.250 0.250 0.250
In2 In 0.750 0.750 0.750
Cu1 Cu 0.000 0.000 0.342
Cu2 Cu 0.000 0.342 0.000
Cu3 Cu 0.342 0.000 0.000
Cu4 Cu 0.658 0.342 0.000
Cu5 Cu 0.385 0.385 0.385
Cu6 Cu 0.155 0.615 0.615
Cu7 Cu 0.385 0.845 0.385
Cu8 Cu 0.658 0.000 0.342
Cu9 Cu 0.385 0.385 0.845
Cu10 Cu 0.845 0.385 0.385
Cu11 Cu 0.615 0.615 0.155
Cu12 Cu 0.000 0.000 0.658
Cu13 Cu 0.342 0.658 0.000
Cu14 Cu 0.000 0.658 0.342
Cu15 Cu 0.000 0.342 0.658
Cu16 Cu 0.658 0.000 0.000
Cu17 Cu 0.615 0.615 0.615
Cu18 Cu 0.000 0.658 0.000
Cu19 Cu 0.615 0.155 0.615
Cu20 Cu 0.342 0.000 0.658
```

Material: La5Tl
Method: DFT, GGA-PBE
State: relaxed

Results
Energy relative to the lowest polymorph listed for this composition ... 32 meV/atom

```
data_La5Tl
_chemical_formula_sum 'La5 Tl1'
_cell_length_a 6.071
_cell_length_b 5.992
_cell_length_c 6.321
_cell_angle_alpha 118.29
_cell_angle_beta 90.00
_cell_angle_gamma 90.00
_symmetry_space_group_name_H-M 'P 1'
_symmetry_Int_Tables_number 1
_symmetry_space_group_name_Hall 'P 1'
loop_
_atom_site_label
_atom_site_type_symbol
_atom_site_fract_x
_atom_site_fract_y
_atom_site_fract_z
La1 La 0.500 0.655 0.310
La2 La 0.000 0.846 0.691
La3 La 0.500 0.000 0.000
La4 La 0.000 0.154 0.309
La5 La 0.500 0.345 0.690
Tl1 Tl 0.000 0.500 0.000
```

Calculated raw total energy in order - -4.151; -3.820; -4.600 eV/atom
Calculated E_form in order - 91.2; 9.6; -9.6 kJ per mole of atoms